# 1
This record from the Alexandria database describes crystalline Tb5PrSm2Y at its relaxed geometry. The functional is PBE-GGA. Values from VASP.

Values from the calculation:
Symmetry = No. 140
Crystal system = tetragonal
Energy relative to the elements = 234 kJ/mol of formula units

Structure (Quantum ESPRESSO input):
```
&SYSTEM
  ibrav = 0, nat = 18, ntyp = 4
/
ATOMIC_SPECIES
Tb 158.93 Tb.upf
Pr 140.91 Pr.upf
Sm 150.36 Sm.upf
Y 88.91 Y.upf
ATOMIC_POSITIONS angstrom
Tb 0.000 0.000 0.000
Tb 6.263 1.846 -2.084
Tb 1.846 2.571 -2.084
Tb 6.263 1.846 2.084
Tb 1.846 2.571 2.084
Tb 0.000 0.000 7.684
Tb 2.571 1.846 5.600
Tb -1.846 2.571 5.600
Tb 2.571 1.846 9.768
Tb -1.846 2.571 9.768
Pr 0.000 0.000 3.842
Pr 0.000 0.000 11.526
Sm 3.397 1.020 0.000
Sm 3.397 -1.020 7.684
Sm 1.020 5.437 0.000
Sm 1.020 3.397 7.684
Y 4.417 0.000 3.842
Y 0.000 4.417 3.842
CELL_PARAMETERS angstrom
-4.417 4.417 7.684
4.417 -4.417 7.684
4.417 4.417 -7.684
```

***

# 2
This record from the Alexandria database describes crystalline BaTcTe2 at its relaxed geometry. The functional is PBE-GGA. Values from VASP.

Values from the calculation:
Symmetry = No. 123
Excess energy over the best structure of this formula in the dataset = 550 meV/atom
Crystal system = tetragonal
Uncorrected formation energy = 0.0395 eV/atom

Structure (Quantum ESPRESSO input):
```
&SYSTEM
  ibrav = 0, nat = 4, ntyp = 3
/
ATOMIC_SPECIES
Ba 137.33 Ba.upf
Tc 98.00 Tc.upf
Te 127.60 Te.upf
ATOMIC_POSITIONS angstrom
Ba 0.000 0.000 0.000
Tc 2.751 2.751 0.000
Te 0.000 2.751 1.952
Te 2.751 0.000 1.952
CELL_PARAMETERS angstrom
5.501 0.000 0.000
0.000 5.501 0.000
0.000 0.000 3.903
```

***

# 3
This record from the Alexandria database describes crystalline Zn2AsPb at its relaxed geometry. The functional is PBE-GGA. Values from VASP.

Values from the calculation:
Symmetry = No. 122
Crystal system = tetragonal
Energy relative to the elements = 58 kJ/mol of formula units

Structure (Quantum ESPRESSO input):
```
&SYSTEM
  ibrav = 0, nat = 8, ntyp = 3
/
ATOMIC_SPECIES
Zn 65.41 Zn.upf
As 74.92 As.upf
Pb 207.20 Pb.upf
ATOMIC_POSITIONS angstrom
Zn 5.104 1.329 -1.105
Zn 1.329 1.701 1.105
Zn -1.701 2.074 3.315
Zn 2.074 1.701 5.525
As 0.000 0.000 0.000
As 0.000 3.403 2.210
Pb 3.403 0.000 2.210
Pb 0.000 0.000 4.420
CELL_PARAMETERS angstrom
-3.403 3.403 4.420
3.403 -3.403 4.420
3.403 3.403 -4.420
```